16
Lattice="8.556 0.000 0.000 0.000 9.181 0.443 -4.278 -4.279 6.049" Properties=species:S:1:pos:R:3 comment="Pr8P3RhI4 (GGA-PBE, optimized geometry)" final_energy_ev_per_atom=-5.468 formation_energy_uncorrected_kj_per_mol_atoms=-117.5 m_tot_mub_per_cell=0.00 spacegroup="No. 166" pbc="T T T"
Pr -2.165 2.224 6.129
Pr 0.000 4.389 3.068
Pr 0.000 0.522 3.394
Pr 2.165 2.224 6.129
Pr 2.112 2.679 0.363
Pr 4.278 4.380 3.098
Pr 4.278 0.513 3.424
Pr 6.443 2.679 0.363
P 4.278 4.591 0.221
P 2.139 2.451 3.246
P -2.139 2.451 3.246
Rh 0.000 4.591 0.221
I 4.278 0.000 0.000
I 2.139 -2.139 3.025
I 0.000 0.000 0.000
I -2.139 -2.139 3.025